[1]
La6SeS2I3 | GGA-PBE | optimized geometry

Properties
As for the formation energy without anion corrections: -1.567 eV per atom. The crystal system is monoclinic. As for the symmetry: C2/m, No. 12.

Cell lengths 7.321, 7.321, 8.249 Å; angles 98.50, 98.50, 119.99 degrees
Fractional coordinates of all 12 atoms:
La: 0.933 0.588 0.800
La: 0.721 0.721 0.198
La: 0.067 0.412 0.200
La: 0.588 0.933 0.800
La: 0.279 0.279 0.802
La: 0.412 0.067 0.200
Se: 0.000 0.000 0.000
S: 0.333 0.667 0.000
S: 0.667 0.333 0.000
I: 0.163 0.837 0.500
I: 0.837 0.163 0.500
I: 0.500 0.500 0.500

=====

[2]
HoThSbAs | GGA-PBE | optimized geometry

Properties
As for the formation energy without anion corrections: -1.224 eV per atom. The crystal system is trigonal. As for the symmetry: R3m, No. 160.

Cell lengths 4.301, 4.301, 7.477 Å; angles 73.29, 73.29, 60.00 degrees
Fractional coordinates of all 4 atoms:
Ho: 0.743 0.743 0.770
Th: 0.257 0.257 0.230
Sb: 0.497 0.497 0.510
As: 0.003 0.003 0.990

=====

[3]
CaPrCdGe | GGA-PBE | optimized geometry

Properties
The crystal system is cubic. The energy of formation from the pure elements comes out at -463.3 meV per atom. As for the symmetry: F-43m, No. 216.

Cell lengths 5.316, 5.316, 5.316 Å; angles 60.00, 60.00, 60.00 degrees
Fractional coordinates of all 4 atoms:
Pr: 0.750 0.750 0.750
Ge: 0.500 0.500 0.500
Ca: 0.250 0.250 0.250
Cd: 0.000 0.000 0.000

=====

no.,magnetization (μB/atom)
1,0.00
2,0.00
3,0.00